A plane-wave DFT calculation with PBE was carried out for CrCd2Fe after structural relaxation.

Energy relative to the elements (eV/atom): 0.450

abc: 5.9084 7.8538 2.9624
angles: 90.00 90.00 90.00
With the nearest neighbours (Å) after each atom.
Space group Cmmm (No. 65)
Asymmetric unit:
Cr 0.0000 0.0000 0.0000 [2 per cell]  8 Cd 2.87, 2 Fe 2.95, 2 Cr 2.96
Cd 0.2500 0.2500 0.5000 [4 per cell]  4 Cr 2.87, 4 Fe 2.87, 4 Cd 2.95-2.96
Fe 0.0000 0.5000 0.0000 [2 per cell]  8 Cd 2.87, 2 Cr 2.95, 2 Fe 2.96


A plane-wave DFT calculation with PBE was carried out for CrCd2Fe after structural relaxation.

Energy relative to the elements (eV/atom): 0.256

abc: 2.9117 2.9117 7.7370
angles: 90.00 90.00 90.00
With the nearest neighbours (Å) after each atom.
Space group P4mm (No. 99)
Asymmetric unit:
Cr 0.0000 0.0000 0.0000 [1 per cell]  4 Fe 2.39
Cd 0.0000 0.0000 0.4125 [1 per cell]  4 Fe 2.85, 4 Cd 2.91, 1 Cr 3.19
Cd 0.5000 0.5000 0.7305 [1 per cell]  8 Cd 2.91-3.21, 4 Cr 2.93
Fe 0.5000 0.5000 0.1575 [1 per cell]  4 Cr 2.39


no.,relative energy among the computed polymorphs (kcal/mol of atoms),final energy (Ry per atom),ρ (g cm⁻³)
1,4.472,-0.33285,8.04
2,0.000,-0.34710,8.42